First-principles (SCAN) data for a PBEsol-optimized structure of Ba3TaN, as listed in Alexandria via LeMat-Bulk.

Cell lengths 5.502, 5.502, 5.502 Å; angles 90.00, 90.00, 90.00 degrees
Sites, in units of the cell vectors:
Ba1 0.000 0.000 0.500
Ba2 0.000 0.500 0.000
Ba3 0.500 0.000 0.000
Ta1 0.500 0.500 0.500
N1 0.000 0.000 0.000

Results
relative energy among the computed polymorphs	0	meV per atom
V	166.6	Å³/cell
size of the total moment	5.6	μB per cell
raw formation energy	0.58	eV/atom

First-principles (SCAN) data for a PBEsol-optimized structure of La2MnHgCl, as listed in Alexandria via LeMat-Bulk.

Cell lengths 5.855, 5.855, 5.411 Å; angles 90.00, 90.00, 90.00 degrees
Sites, in units of the cell vectors:
La1 0.000 0.500 0.000
La2 0.500 0.000 0.000
Mn1 0.000 0.000 0.500
Hg1 0.500 0.500 0.000
Cl1 0.500 0.500 0.500

Results
V	185.5	Å³/cell
size of the total moment	3.9	μB per cell
raw formation energy	0.27	eV/atom

First-principles (SCAN) data for a PBEsol-optimized structure of TiI2NO, as listed in Alexandria via LeMat-Bulk.

Cell lengths 4.791, 4.791, 3.678 Å; angles 90.00, 90.00, 90.00 degrees
Sites, in units of the cell vectors:
Ti1 0.000 0.000 0.000
I1 0.000 0.500 0.500
I2 0.500 0.000 0.500
N1 0.500 0.500 0.500
O1 0.500 0.500 0.000

Results
V	84.5	Å³/cell
size of the total moment	1.8	μB per cell
raw formation energy	0.87	eV/atom

First-principles (SCAN) data for a PBEsol-optimized structure of BeCdHg2, as listed in Alexandria via LeMat-Bulk.

Cell lengths 2.930, 5.883, 8.974 Å; angles 90.00, 90.00, 90.00 degrees
Sites, in units of the cell vectors:
Be1 0.000 0.000 0.000
Be2 0.500 0.500 0.000
Cd1 0.000 0.000 0.500
Cd2 0.500 0.500 0.500
Hg1 0.000 0.500 0.217
Hg2 0.000 0.500 0.783
Hg3 0.500 0.000 0.217
Hg4 0.500 0.000 0.783

Results
relative energy among the computed polymorphs	103	meV per atom
V	154.7	Å³/cell
size of the total moment	0.0	μB per cell
energy of formation from the pure elements	230	meV/atom

First-principles (SCAN) data for a PBEsol-optimized structure of NbIrSe2Br, as listed in Alexandria via LeMat-Bulk.

Cell lengths 4.937, 4.937, 4.946 Å; angles 90.00, 90.00, 90.00 degrees
Sites, in units of the cell vectors:
Nb1 0.000 0.000 0.000
Ir1 0.500 0.500 0.500
Se1 0.000 0.500 0.000
Se2 0.500 0.000 0.000
Br1 0.000 0.000 0.500

Results
V	120.5	Å³/cell
size of the total moment	3.3	μB per cell
raw formation energy	0.89	eV/atom

First-principles (SCAN) data for a PBEsol-optimized structure of RbNiPt3, as listed in Alexandria via LeMat-Bulk.

Cell lengths 4.892, 4.892, 4.892 Å; angles 90.00, 90.00, 90.00 degrees
Sites, in units of the cell vectors:
Rb1 0.000 0.000 0.000
Ni1 0.500 0.500 0.500
Pt1 0.000 0.000 0.500
Pt2 0.000 0.500 0.000
Pt3 0.500 0.000 0.000

Results
V	117.1	Å³/cell
size of the total moment	0.9	μB per cell
energy of formation from the pure elements	2854	meV/atom

First-principles (SCAN) data for a PBEsol-optimized structure of BeAs2Ru, as listed in Alexandria via LeMat-Bulk.

Cell lengths 3.744, 3.744, 7.912 Å; angles 90.00, 90.00, 90.00 degrees
Sites, in units of the cell vectors:
Be1 0.000 0.000 0.000
Be2 0.500 0.500 0.500
As1 0.000 0.000 0.500
As2 0.000 0.500 0.750
As3 0.500 0.000 0.250
As4 0.500 0.500 0.000
Ru1 0.000 0.500 0.250
Ru2 0.500 0.000 0.750

Results
V	110.9	Å³/cell
size of the total moment	0.0	μB per cell
energy of formation from the pure elements	264	meV/atom

First-principles (SCAN) data for a PBEsol-optimized structure of IrOsW2, as listed in Alexandria via LeMat-Bulk.

Cell lengths 2.765, 2.765, 7.747 Å; angles 90.00, 90.00, 90.00 degrees
Sites, in units of the cell vectors:
Ir1 0.000 0.000 0.000
Os1 0.000 0.000 0.500
W1 0.500 0.500 0.252
W2 0.500 0.500 0.748

Results
relative energy among the computed polymorphs	9	meV per atom
V	59.2	Å³/cell
size of the total moment	0.0	μB per cell
energy of formation from the pure elements	-150	meV/atom

First-principles (SCAN) data for a PBEsol-optimized structure of Ba2YScBr, as listed in Alexandria via LeMat-Bulk.

Cell lengths 6.749, 6.749, 5.244 Å; angles 90.00, 90.00, 90.00 degrees
Sites, in units of the cell vectors:
Ba1 0.000 0.500 0.000
Ba2 0.500 0.000 0.000
Y1 0.000 0.000 0.000
Sc1 0.500 0.500 0.500
Br1 0.000 0.000 0.500

Results
V	238.9	Å³/cell
size of the total moment	2.8	μB per cell
raw formation energy	0.37	eV/atom

First-principles (SCAN) data for a PBEsol-optimized structure of Ta6Mo, as listed in Alexandria via LeMat-Bulk.

Cell lengths 16.156, 16.068, 2.839 Å; angles 86.72, 83.18, 10.10 degrees
Sites, in units of the cell vectors:
Ta1 0.068 0.068 0.932
Ta2 0.214 0.214 0.786
Ta3 0.359 0.359 0.641
Ta4 0.641 0.641 0.359
Ta5 0.786 0.786 0.214
Ta6 0.932 0.932 0.068
Mo1 0.500 0.500 0.500

Results
relative energy among the computed polymorphs	32	meV per atom
V	120.6	Å³/cell
size of the total moment	0.0	μB per cell
energy of formation from the pure elements	-36	meV/atom

First-principles (SCAN) data for a PBEsol-optimized structure of LiCu, as listed in Alexandria via LeMat-Bulk.

Cell lengths 2.584, 2.584, 8.775 Å; angles 90.00, 90.00, 120.00 degrees
Sites, in units of the cell vectors:
Li1 0.333 0.667 0.146
Li2 0.667 0.333 0.854
Cu1 0.333 0.667 0.616
Cu2 0.667 0.333 0.384

Results
V	50.7	Å³/cell
size of the total moment	0.0	μB per cell
energy of formation from the pure elements	43	meV/atom

First-principles (SCAN) data for a PBEsol-optimized structure of HfZr3N, as listed in Alexandria via LeMat-Bulk.

Cell lengths 4.502, 4.502, 4.502 Å; angles 90.00, 90.00, 90.00 degrees
Sites, in units of the cell vectors:
Hf1 0.000 0.000 0.000
Zr1 0.000 0.500 0.500
Zr2 0.500 0.000 0.500
Zr3 0.500 0.500 0.000
N1 0.500 0.500 0.500

Results
V	91.2	Å³/cell
size of the total moment	0.0	μB per cell
raw formation energy	-0.81	eV/atom